AgPRhCl2 | GGA-PBE | relaxed

a b c (Å): 4.929 4.929 4.921
angles (deg): 90.00 90.00 90.00
Space group P4/mmm (No. 123)
Inequivalent atoms, fractional coordinates:
Ag  0.000  0.000  0.000 [1 per cell]
P  0.000  0.000  0.500 [1 per cell]
Rh  0.500  0.500  0.500 [1 per cell]
Cl  0.000  0.500  0.000 [2 per cell]

Energy relative to the lowest polymorph listed for this composition (eV/atom): 0.839
Total DFT energy (no corrections) (eV/atom): -2.872
Crystal system: tetragonal
Formation energy from raw total energies (meV/atom): 989